(1)
Density functional theory data (SCAN) for CoRh3 at its PBEsol-relaxed geometry.

a b c (Å): 2.644 2.644 7.275
angles (deg): 90.00 90.00 90.00
Last column: magnetic moment on the atom in μB.
Sites, in units of the cell vectors:
Rh (0.500, 0.500, 0.761)  0.32
Rh (0.500, 0.500, 0.239)  0.32
Rh (0.000, 0.000, 0.500)  -0.20
Co (0.000, 0.000, 0.000)  2.06

Results
* energy of formation: 0.0401 eV/atom
* crystal system: tetragonal
* total moment: 0.605 μB/atom



(2)
Density functional theory data (SCAN) for Co2Rh at its PBEsol-relaxed geometry.

a b c (Å): 2.566 3.536 7.619
angles (deg): 90.00 90.00 90.00
Last column: magnetic moment on the atom in μB.
Sites, in units of the cell vectors:
Co (0.000, 0.000, 0.733)  1.95
Co (0.500, 0.500, 0.577)  1.91
Co (0.000, 0.000, 0.423)  1.91
Co (0.500, 0.500, 0.267)  1.95
Rh (0.500, 0.500, 0.906)  0.62
Rh (0.000, 0.000, 0.094)  0.62

Results
* energy of formation: 0.0647 eV/atom
* crystal system: orthorhombic
* total moment: 1.462 μB/atom



(3)
Density functional theory data (SCAN) for Co2Rh at its PBEsol-relaxed geometry.

a b c (Å): 2.580 4.792 6.054
angles (deg): 104.97 90.00 105.62
Last column: magnetic moment on the atom in μB.
Sites, in units of the cell vectors:
Co (0.363, 0.725, 0.974)  1.94
Co (0.970, 0.941, 0.713)  1.96
Co (0.030, 0.059, 0.287)  1.96
Co (0.637, 0.275, 0.026)  1.94
Rh (0.687, 0.373, 0.638)  0.71
Rh (0.313, 0.627, 0.362)  0.71

Results
* energy of formation: 0.0332 eV/atom
* crystal system: monoclinic
* total moment: 1.495 μB/atom



(4)
Density functional theory data (SCAN) for Co3Rh4 at its PBEsol-relaxed geometry.

a b c (Å): 2.622 2.622 12.566
angles (deg): 95.99 95.99 90.00
Last column: magnetic moment on the atom in μB.
Sites, in units of the cell vectors:
Co (0.000, 0.000, 0.000)  2.09
Co (0.719, 0.719, 0.438)  1.98
Co (0.281, 0.281, 0.562)  1.98
Rh (0.570, 0.570, 0.141)  0.62
Rh (0.430, 0.430, 0.859)  0.62
Rh (0.852, 0.852, 0.705)  0.63
Rh (0.148, 0.148, 0.295)  0.63

Results
* energy of formation: 0.0639 eV/atom
* crystal system: tetragonal
* total moment: 1.185 μB/atom



(5)
Density functional theory data (SCAN) for Co3Rh2 at its PBEsol-relaxed geometry.

a b c (Å): 2.582 2.582 8.942
angles (deg): 98.30 98.30 90.00
Last column: magnetic moment on the atom in μB.
Sites, in units of the cell vectors:
Rh (0.101, 0.101, 0.202)  0.82
Rh (0.899, 0.899, 0.798)  0.82
Co (0.705, 0.705, 0.410)  1.95
Co (0.500, 0.500, 0.000)  2.07
Co (0.295, 0.295, 0.590)  1.95

Results
* energy of formation: 0.0496 eV/atom
* crystal system: tetragonal
* total moment: 1.482 μB/atom



(6)
Density functional theory data (SCAN) for Co2Rh at its PBEsol-relaxed geometry.

a b c (Å): 2.570 2.570 10.393
angles (deg): 90.00 90.00 90.00
Last column: magnetic moment on the atom in μB.
Sites, in units of the cell vectors:
Co (0.000, 0.000, 0.000)  2.06
Co (0.000, 0.000, 0.346)  1.97
Co (0.500, 0.500, 0.500)  1.84
Co (0.000, 0.000, 0.654)  1.97
Rh (0.500, 0.500, 0.170)  0.82
Rh (0.500, 0.500, 0.830)  0.82

Results
* energy of formation: 0.0503 eV/atom
* crystal system: tetragonal
* total moment: 1.545 μB/atom



(7)
Density functional theory data (SCAN) for Co2Rh at its PBEsol-relaxed geometry.

a b c (Å): 4.046 4.731 4.766
angles (deg): 63.44 64.89 64.69
Last column: magnetic moment on the atom in μB.
Sites, in units of the cell vectors:
Co (0.027, 0.714, 0.233)  2.05
Co (0.647, 0.751, 0.955)  2.06
Co (0.353, 0.249, 0.045)  2.06
Co (0.973, 0.286, 0.767)  2.05
Rh (0.677, 0.225, 0.421)  0.91
Rh (0.323, 0.775, 0.579)  0.91

Results
* energy of formation: 0.0125 eV/atom
* crystal system: monoclinic
* total moment: 1.631 μB/atom



(8)
Density functional theory data (SCAN) for Co4Rh at its PBEsol-relaxed geometry.

a b c (Å): 2.859 2.859 7.179
angles (deg): 101.49 101.49 90.00
Last column: magnetic moment on the atom in μB.
Sites, in units of the cell vectors:
Rh (0.500, 0.500, 0.000)  0.95
Co (0.114, 0.114, 0.227)  2.03
Co (0.297, 0.297, 0.595)  1.91
Co (0.886, 0.886, 0.773)  2.03
Co (0.703, 0.703, 0.405)  1.91

Results
* energy of formation: 0.0125 eV/atom
* crystal system: tetragonal
* total moment: 1.736 μB/atom



Q: Which value of energy of formation does entry 5 give?
A: 0.0496 eV/atom



Q: Which value of energy of formation does entry 7 give?
A: 0.0125 eV/atom



Q: What is the energy of formation in the fourth record?
A: 0.0639 eV/atom